No. 1
## KEr4ThS8 (GGA-PBE)

Data for an optimized crystal structure of KEr4ThS8.

Energy relative to the elements, uncorrected (eV per atom): -1.87
Theoretical density (Mg/m³): 5.1
Energy (eV/atom): -6.14

Geometry as CIF:
```
data_KEr4ThS8
_chemical_formula_sum 'K3 Er12 Th3 S24'
_cell_length_a 8.1197
_cell_length_b 8.1197
_cell_length_c 20.4034
_cell_angle_alpha 90.00
_cell_angle_beta 90.00
_cell_angle_gamma 120.00
_symmetry_space_group_name_H-M 'R 3 m'
_symmetry_Int_Tables_number 160
_symmetry_space_group_name_Hall 'R 3 -2"'
loop_
_atom_site_label
_atom_site_fract_x
_atom_site_fract_y
_atom_site_fract_z
K1 0.0000 0.0000 0.0000
Er1 0.0000 0.0000 0.2572
Er2 0.1714 0.3427 0.4617
Th1 0.0000 0.0000 0.6329
S1 0.0000 0.0000 0.3879
S2 0.0000 0.0000 0.8613
S3 0.0399 0.5200 0.3869
S4 0.1744 0.3488 0.2085
```

***

No. 2
## Y2TaAl (GGA-PBE)

Data for an optimized crystal structure of Y2TaAl.

Theoretical density (Mg/m³): 6.9
Energy (eV/atom): -6.84
Formation energy from the elements (eV/f.u.): 1.2

Geometry as CIF:
```
data_Y2TaAl
_chemical_formula_sum 'Y4 Ta2 Al2'
_cell_length_a 3.421
_cell_length_b 5.179
_cell_length_c 10.476
_cell_angle_alpha 90.00
_cell_angle_beta 90.00
_cell_angle_gamma 90.00
_symmetry_space_group_name_H-M 'I m m m'
_symmetry_Int_Tables_number 71
_symmetry_space_group_name_Hall '-I 2 2'
loop_
_atom_site_label
_atom_site_fract_x
_atom_site_fract_y
_atom_site_fract_z
Y1 0.000 0.000 0.244
Ta1 0.000 0.500 0.000
Al1 0.000 0.500 0.500
```

***

No. 3
## Cs3Er2US6 (GGA-PBE)

Data for an optimized crystal structure of Cs3Er2US6.

Energy relative to the elements, uncorrected (eV per atom): -1.64
Theoretical density (Mg/m³): 5.5
Energy (eV/atom): -5.62

Geometry as CIF:
```
data_Cs3Er2US6
_chemical_formula_sum 'Cs6 Er4 U2 S12'
_cell_length_a 7.101
_cell_length_b 12.300
_cell_length_c 8.404
_cell_angle_alpha 90.00
_cell_angle_beta 106.36
_cell_angle_gamma 90.00
_symmetry_space_group_name_H-M 'C 1 2/m 1'
_symmetry_Int_Tables_number 12
_symmetry_space_group_name_Hall '-C 2y'
loop_
_atom_site_label
_atom_site_fract_x
_atom_site_fract_y
_atom_site_fract_z
Cs1 0.000 0.000 0.000
Cs2 0.000 0.333 0.000
Er1 0.000 0.167 0.500
U1 0.000 0.500 0.500
S1 0.223 0.000 0.681
S2 0.229 0.331 0.681
```

***

No. 4
## ZrCuNi (GGA-PBE)

Data for an optimized crystal structure of ZrCuNi.

Theoretical density (Mg/m³): 6.9
Energy (eV/atom): -6.00
Formation energy from the elements (eV/f.u.): 0.4
Energy above the most stable polymorph in this dataset (eV/atom): 0.429

Geometry as CIF:
```
data_ZrCuNi
_chemical_formula_sum 'Zr4 Cu4 Ni4'
_cell_length_a 5.895
_cell_length_b 5.895
_cell_length_c 5.895
_cell_angle_alpha 90.00
_cell_angle_beta 90.00
_cell_angle_gamma 90.00
_symmetry_space_group_name_H-M 'F -4 3 m'
_symmetry_Int_Tables_number 216
_symmetry_space_group_name_Hall 'F -4 2 3'
loop_
_atom_site_label
_atom_site_fract_x
_atom_site_fract_y
_atom_site_fract_z
Zr1 0.000 0.000 0.000
Cu1 0.250 0.250 0.250
Ni1 0.000 0.000 0.500
```

***

No. 5
## LiC2S (GGA-PBE)

Data for an optimized crystal structure of LiC2S.

Energy relative to the elements, uncorrected (eV per atom): 1.16
Theoretical density (Mg/m³): 2.5
Energy (eV/atom): -4.97

Geometry as CIF:
```
data_LiC2S
_chemical_formula_sum 'Li4 C8 S4'
_cell_length_a 4.879
_cell_length_b 4.879
_cell_length_c 7.014
_cell_angle_alpha 90.00
_cell_angle_beta 90.00
_cell_angle_gamma 90.00
_symmetry_space_group_name_H-M 'I -4 2 d'
_symmetry_Int_Tables_number 122
_symmetry_space_group_name_Hall 'I -4 2bw'
loop_
_atom_site_label
_atom_site_fract_x
_atom_site_fract_y
_atom_site_fract_z
Li1 0.000 0.000 0.000
C1 0.170 0.250 0.625
S1 0.000 0.000 0.500
```

***

No. 6
## BeAsS3 (GGA-PBE)

Data for an optimized crystal structure of BeAsS3.

Energy relative to the elements, uncorrected (eV per atom): 0.92
Theoretical density (Mg/m³): 2.9
Energy (eV/atom): -3.24
Energy above the most stable polymorph in this dataset (eV/atom): 0.521

Geometry as CIF:
```
data_BeAsS3
_chemical_formula_sum 'Be1 As1 S3'
_cell_length_a 4.684
_cell_length_b 4.684
_cell_length_c 4.684
_cell_angle_alpha 90.00
_cell_angle_beta 90.00
_cell_angle_gamma 90.00
_symmetry_space_group_name_H-M 'P m -3 m'
_symmetry_Int_Tables_number 221
_symmetry_space_group_name_Hall '-P 4 2 3'
loop_
_atom_site_label
_atom_site_fract_x
_atom_site_fract_y
_atom_site_fract_z
Be1 0.000 0.000 0.000
As1 0.500 0.500 0.500
S1 0.000 0.500 0.500
```

***

No. 7
## ScPRhCl2 (GGA-PBE)

Data for an optimized crystal structure of ScPRhCl2.

Energy relative to the elements, uncorrected (eV per atom): -0.10
Theoretical density (Mg/m³): 3.4
Energy (eV/atom): -4.66
Energy above the most stable polymorph in this dataset (eV/atom): 0.096

Geometry as CIF:
```
data_ScPRhCl2
_chemical_formula_sum 'Sc1 P1 Rh1 Cl2'
_cell_length_a 4.732
_cell_length_b 4.732
_cell_length_c 5.444
_cell_angle_alpha 90.00
_cell_angle_beta 90.00
_cell_angle_gamma 90.00
_symmetry_space_group_name_H-M 'P 4/m m m'
_symmetry_Int_Tables_number 123
_symmetry_space_group_name_Hall '-P 4 2'
loop_
_atom_site_label
_atom_site_fract_x
_atom_site_fract_y
_atom_site_fract_z
Sc1 0.000 0.000 0.000
P1 0.000 0.000 0.500
Rh1 0.500 0.500 0.500
Cl1 0.000 0.500 0.000
```

***

No. 8
## SrSmEuTl (GGA-PBE)

Data for an optimized crystal structure of SrSmEuTl.

Theoretical density (Mg/m³): 7.1
Energy (eV/atom): -4.80
Formation energy from the elements (eV/f.u.): -0.2

Geometry as CIF:
```
data_SrSmEuTl
_chemical_formula_sum 'Sr4 Sm4 Eu4 Tl4'
_cell_length_a 8.210
_cell_length_b 8.210
_cell_length_c 8.210
_cell_angle_alpha 90.00
_cell_angle_beta 90.00
_cell_angle_gamma 90.00
_symmetry_space_group_name_H-M 'F -4 3 m'
_symmetry_Int_Tables_number 216
_symmetry_space_group_name_Hall 'F -4 2 3'
loop_
_atom_site_label
_atom_site_fract_x
_atom_site_fract_y
_atom_site_fract_z
Sr1 0.000 0.000 0.000
Sm1 0.000 0.000 0.500
Eu1 0.250 0.250 0.250
Tl1 0.250 0.250 0.750
```

***

No. 9
## In2GaPtPb (GGA-PBE)

Data for an optimized crystal structure of In2GaPtPb.

Theoretical density (Mg/m³): 8.6
Energy (eV/atom): -3.76
Formation energy from the elements (eV/f.u.): -0.6
Energy above the most stable polymorph in this dataset (eV/atom): 0.000

Geometry as CIF:
```
data_In2GaPtPb
_chemical_formula_sum 'In2 Ga1 Pt1 Pb1'
_cell_length_a 5.316
_cell_length_b 5.316
_cell_length_c 4.783
_cell_angle_alpha 90.00
_cell_angle_beta 90.00
_cell_angle_gamma 90.00
_symmetry_space_group_name_H-M 'P 4/m m m'
_symmetry_Int_Tables_number 123
_symmetry_space_group_name_Hall '-P 4 2'
loop_
_atom_site_label
_atom_site_fract_x
_atom_site_fract_y
_atom_site_fract_z
In1 0.000 0.500 0.000
Ga1 0.000 0.000 0.500
Pt1 0.000 0.000 0.000
Pb1 0.500 0.500 0.500
```

***

No. 10
## NbNi4W (GGA-PBE)

Data for an optimized crystal structure of NbNi4W.

Theoretical density (Mg/m³): 11.2
Energy (eV/atom): -7.78
Formation energy from the elements (eV/f.u.): -0.5

Geometry as CIF:
```
data_NbNi4W
_chemical_formula_sum 'Nb4 Ni16 W4'
_cell_length_a 6.728
_cell_length_b 6.728
_cell_length_c 6.728
_cell_angle_alpha 90.00
_cell_angle_beta 90.00
_cell_angle_gamma 90.00
_symmetry_space_group_name_H-M 'F -4 3 m'
_symmetry_Int_Tables_number 216
_symmetry_space_group_name_Hall 'F -4 2 3'
loop_
_atom_site_label
_atom_site_fract_x
_atom_site_fract_y
_atom_site_fract_z
Nb1 0.000 0.000 0.000
Ni1 0.125 0.125 0.375
W1 0.250 0.250 0.750
```

***

No. 11
## SmDy3Er6Tm2 (GGA-PBE)

Data for an optimized crystal structure of SmDy3Er6Tm2.

Theoretical density (Mg/m³): 8.9
Energy (eV/atom): -4.55
Formation energy from the elements (eV/f.u.): 0.2

Geometry as CIF:
```
data_SmDy3Er6Tm2
_chemical_formula_sum 'Sm2 Dy6 Er12 Tm4'
_cell_length_a 6.099
_cell_length_b 10.551
_cell_length_c 11.667
_cell_angle_alpha 90.00
_cell_angle_beta 99.99
_cell_angle_gamma 90.00
_symmetry_space_group_name_H-M 'C 1 2/m 1'
_symmetry_Int_Tables_number 12
_symmetry_space_group_name_Hall '-C 2y'
loop_
_atom_site_label
_atom_site_fract_x
_atom_site_fract_y
_atom_site_fract_z
Sm1 0.000 0.000 0.000
Dy1 0.000 0.167 0.500
Dy2 0.000 0.500 0.500
Er1 0.249 0.333 0.750
Er2 0.250 0.000 0.750
Tm1 0.000 0.333 0.000
```

***

No. 12
## La4Nd8Ho (GGA-PBE)

Data for an optimized crystal structure of La4Nd8Ho.

Theoretical density (Mg/m³): 6.4
Energy (eV/atom): -4.44
Formation energy from the elements (eV/f.u.): 4.7

Geometry as CIF:
```
data_La4Nd8Ho
_chemical_formula_sum 'La12 Nd24 Ho3'
_cell_length_a 11.9010
_cell_length_b 11.9010
_cell_length_c 11.8286
_cell_angle_alpha 90.00
_cell_angle_beta 90.00
_cell_angle_gamma 120.00
_symmetry_space_group_name_H-M 'R -3 m'
_symmetry_Int_Tables_number 166
_symmetry_space_group_name_Hall '-R 3 2"'
loop_
_atom_site_label
_atom_site_fract_x
_atom_site_fract_y
_atom_site_fract_z
La1 0.0000 0.0000 0.0000
La2 0.0000 0.5000 0.0000
Nd1 0.0000 0.0000 0.2397
Nd2 0.0028 0.5014 0.6650
Ho1 0.0000 0.0000 0.5000
```

***

No. 13
## GaNi2Rh8 (GGA-PBE)

Data for an optimized crystal structure of GaNi2Rh8.

Theoretical density (Mg/m³): 10.7
Energy (eV/atom): -6.56
Formation energy from the elements (eV/f.u.): 1.3

Geometry as CIF:
```
data_GaNi2Rh8
_chemical_formula_sum 'Ga2 Ni4 Rh16'
_cell_length_a 7.766
_cell_length_b 9.811
_cell_length_c 4.134
_cell_angle_alpha 90.00
_cell_angle_beta 90.00
_cell_angle_gamma 90.00
_symmetry_space_group_name_H-M 'C m m m'
_symmetry_Int_Tables_number 65
_symmetry_space_group_name_Hall '-C 2 2'
loop_
_atom_site_label
_atom_site_fract_x
_atom_site_fract_y
_atom_site_fract_z
Ga1 0.000 0.000 0.000
Ni1 0.000 0.381 0.500
Rh1 0.000 0.254 0.000
Rh2 0.167 0.134 0.500
Rh3 0.169 0.500 0.000
```

***

No. 14
## Ba5In2Pb (GGA-PBE)

Data for an optimized crystal structure of Ba5In2Pb.

Theoretical density (Mg/m³): 5.1
Energy (eV/atom): -2.75
Formation energy from the elements (eV/f.u.): -3.2

Geometry as CIF:
```
data_Ba5In2Pb
_chemical_formula_sum 'Ba20 In8 Pb4'
_cell_length_a 9.052
_cell_length_b 9.052
_cell_length_c 17.784
_cell_angle_alpha 90.00
_cell_angle_beta 90.00
_cell_angle_gamma 90.00
_symmetry_space_group_name_H-M 'I 4/m c m'
_symmetry_Int_Tables_number 140
_symmetry_space_group_name_Hall '-I 4 2c'
loop_
_atom_site_label
_atom_site_fract_x
_atom_site_fract_y
_atom_site_fract_z
Ba1 0.000 0.000 0.000
Ba2 0.178 0.322 0.146
In1 0.113 0.387 0.500
Pb1 0.000 0.000 0.250
```

***

No. 15
## Dy4Y3PuS8 (GGA-PBE)

Data for an optimized crystal structure of Dy4Y3PuS8.

Energy relative to the elements, uncorrected (eV per atom): -1.98
Theoretical density (Mg/m³): 6.9
Energy (eV/atom): -7.30

Geometry as CIF:
```
data_Dy4Y3PuS8
_chemical_formula_sum 'Dy12 Y9 Pu3 S24'
_cell_length_a 7.8319
_cell_length_b 7.8319
_cell_length_c 19.1836
_cell_angle_alpha 90.00
_cell_angle_beta 90.00
_cell_angle_gamma 120.00
_symmetry_space_group_name_H-M 'R -3 m'
_symmetry_Int_Tables_number 166
_symmetry_space_group_name_Hall '-R 3 2"'
loop_
_atom_site_label
_atom_site_fract_x
_atom_site_fract_y
_atom_site_fract_z
Dy1 0.0000 0.0000 0.0000
Dy2 0.0000 0.5000 0.0000
Y1 0.0000 0.5000 0.5000
Pu1 0.0000 0.0000 0.5000
S1 0.0000 0.0000 0.2504
S2 0.0011 0.5006 0.7493
```

***

No. 16
## CoAgSN2 (GGA-PBE)

Data for an optimized crystal structure of CoAgSN2.

Energy relative to the elements, uncorrected (eV per atom): 2.25
Theoretical density (Mg/m³): 4.5
Energy (eV/atom): -3.89
Energy above the most stable polymorph in this dataset (eV/atom): 1.254

Geometry as CIF:
```
data_CoAgSN2
_chemical_formula_sum 'Co1 Ag1 S1 N2'
_cell_length_a 3.846
_cell_length_b 3.846
_cell_length_c 5.717
_cell_angle_alpha 90.00
_cell_angle_beta 90.00
_cell_angle_gamma 90.00
_symmetry_space_group_name_H-M 'P 4/m m m'
_symmetry_Int_Tables_number 123
_symmetry_space_group_name_Hall '-P 4 2'
loop_
_atom_site_label
_atom_site_fract_x
_atom_site_fract_y
_atom_site_fract_z
Co1 0.000 0.000 0.000
Ag1 0.000 0.000 0.500
S1 0.500 0.500 0.000
N1 0.000 0.500 0.500
```

***

No. 17
## CaErCd (GGA-PBE)

Data for an optimized crystal structure of CaErCd.

Theoretical density (Mg/m³): 5.9
Energy (eV/atom): -2.66
Formation energy from the elements (eV/f.u.): -0.5
Energy above the most stable polymorph in this dataset (eV/atom): 0.005

Geometry as CIF:
```
data_CaErCd
_chemical_formula_sum 'Ca2 Er2 Cd2'
_cell_length_a 3.681
_cell_length_b 3.681
_cell_length_c 13.386
_cell_angle_alpha 90.00
_cell_angle_beta 90.00
_cell_angle_gamma 90.00
_symmetry_space_group_name_H-M 'I 4 m m'
_symmetry_Int_Tables_number 107
_symmetry_space_group_name_Hall 'I 4 -2'
loop_
_atom_site_label
_atom_site_fract_x
_atom_site_fract_y
_atom_site_fract_z
Ca1 0.000 0.000 0.000
Er1 0.000 0.000 0.291
Cd1 0.000 0.000 0.656
```

***

No. 18
## La2PmWN4 (GGA-PBE)

Data for an optimized crystal structure of La2PmWN4.

Energy relative to the elements, uncorrected (eV per atom): -0.92
Theoretical density (Mg/m³): 8.1
Energy (eV/atom): -8.53

Geometry as CIF:
```
data_La2PmWN4
_chemical_formula_sum 'La8 Pm4 W4 N16'
_cell_length_a 3.455
_cell_length_b 12.182
_cell_length_c 12.886
_cell_angle_alpha 90.00
_cell_angle_beta 90.00
_cell_angle_gamma 90.00
_symmetry_space_group_name_H-M 'C m c m'
_symmetry_Int_Tables_number 63
_symmetry_space_group_name_Hall '-C 2c 2'
loop_
_atom_site_label
_atom_site_fract_x
_atom_site_fract_y
_atom_site_fract_z
La1 0.000 0.132 0.038
Pm1 0.000 0.414 0.250
W1 0.000 0.325 0.750
N1 0.000 0.071 0.250
N2 0.000 0.226 0.637
N3 0.000 0.500 0.000
```

***

No. 19
## Tm5IrPd4 (GGA-PBE)

Data for an optimized crystal structure of Tm5IrPd4.

Theoretical density (Mg/m³): 11.9
Energy (eV/atom): -6.14
Formation energy from the elements (eV/f.u.): -9.4

Geometry as CIF:
```
data_Tm5IrPd4
_chemical_formula_sum 'Tm5 Ir1 Pd4'
_cell_length_a 3.412
_cell_length_b 3.412
_cell_length_c 17.592
_cell_angle_alpha 90.00
_cell_angle_beta 90.00
_cell_angle_gamma 90.00
_symmetry_space_group_name_H-M 'P 4/m m m'
_symmetry_Int_Tables_number 123
_symmetry_space_group_name_Hall '-P 4 2'
loop_
_atom_site_label
_atom_site_fract_x
_atom_site_fract_y
_atom_site_fract_z
Tm1 0.000 0.000 0.000
Tm2 0.000 0.000 0.202
Tm3 0.000 0.000 0.406
Ir1 0.500 0.500 0.500
Pd1 0.500 0.500 0.101
Pd2 0.500 0.500 0.301
```

***

No. 20
## Pm6As2S3Cl (GGA-PBE)

Data for an optimized crystal structure of Pm6As2S3Cl.

Energy relative to the elements, uncorrected (eV per atom): -1.79
Theoretical density (Mg/m³): 6.4
Energy (eV/atom): -6.12

Geometry as CIF:
```
data_Pm6As2S3Cl
_chemical_formula_sum 'Pm12 As4 S6 Cl2'
_cell_length_a 17.982
_cell_length_b 4.121
_cell_length_c 8.249
_cell_angle_alpha 90.00
_cell_angle_beta 103.45
_cell_angle_gamma 90.00
_symmetry_space_group_name_H-M 'C 1 2/m 1'
_symmetry_Int_Tables_number 12
_symmetry_space_group_name_Hall '-C 2y'
loop_
_atom_site_label
_atom_site_fract_x
_atom_site_fract_y
_atom_site_fract_z
Pm1 0.001 0.000 0.225
Pm2 0.167 0.500 0.086
Pm3 0.177 0.500 0.584
As1 0.164 0.000 0.828
S1 0.000 0.500 0.000
S2 0.164 0.000 0.334
Cl1 0.000 0.500 0.500
```